No. 1
Here is YScRuPt after structural relaxation from Alexandria. Energies are from GGA-PBE.

Cell lengths 3.3834, 3.3834, 6.5856 Å; angles 90.00, 90.00, 90.00 degrees
Space group P4mm (No. 99)
Symmetry-distinct sites (fractional):
Y: 0.0000 0.0000 0.0000
Sc: 0.0000 0.0000 0.4871
Ru: 0.5000 0.5000 0.2634
Pt: 0.5000 0.5000 0.7277

Computed properties:
spin magnetization: 0.000 μB/f.u.
formation energy from the elements: -0.874 eV per atom

=====

No. 2
Here is YSc2RuPt after structural relaxation from Alexandria. Energies are from GGA-PBE.

Cell lengths 4.9351, 4.9351, 5.3322 Å; angles 90.00, 90.00, 90.00 degrees
Space group P4/mmm (No. 123)
Symmetry-distinct sites (fractional):
Y: 0.0000 0.0000 0.0000
Sc: 0.0000 0.5000 0.5000
Ru: 0.5000 0.5000 0.0000
Pt: 0.0000 0.0000 0.5000

Computed properties:
spin magnetization: 0.000 μB/f.u.
formation energy from the elements: 0.142 eV per atom

=====

No. 3
Here is RuPtSe after structural relaxation from Alexandria. Energies are from GGA-PBE.

Cell lengths 3.9896, 3.9896, 3.5686 Å; angles 90.00, 90.00, 120.00 degrees
Space group P3m1 (No. 156)
Symmetry-distinct sites (fractional):
Ru: 0.0000 0.0000 0.0000
Pt: 0.6667 0.3333 0.5333
Se: 0.3333 0.6667 0.1771

Computed properties:
spin magnetization: 0.000 μB/f.u.
VASP energy: -6.110 eV/atom

=====

No. 4
Here is Ru2PtSe after structural relaxation from Alexandria. Energies are from GGA-PBE.

Cell lengths 3.9652, 3.9652, 7.7479 Å; angles 90.00, 90.00, 90.00 degrees
Space group I-4m2 (No. 119)
Symmetry-distinct sites (fractional):
Ru: 0.0000 0.0000 0.0000
Ru: 0.0000 0.5000 0.2500
Pt: 0.0000 0.0000 0.5000
Se: 0.0000 0.5000 0.7500

Computed properties:
spin magnetization: 0.000 μB/f.u.
VASP energy: -6.615 eV/atom

=====

No. 5
Here is Ru2PtSe after structural relaxation from Alexandria. Energies are from GGA-PBE.

Cell lengths 2.9642, 2.9642, 6.7969 Å; angles 90.00, 90.00, 90.00 degrees
Space group P4/mmm (No. 123)
Symmetry-distinct sites (fractional):
Ru: 0.0000 0.0000 0.2273
Pt: 0.5000 0.5000 0.5000
Se: 0.5000 0.5000 0.0000

Computed properties:
spin magnetization: 0.000 μB/f.u.
VASP energy: -6.760 eV/atom

=====

No. 6
Here is Ru2PtSe after structural relaxation from Alexandria. Energies are from GGA-PBE.

Cell lengths 4.5608, 4.5608, 2.9181 Å; angles 90.00, 90.00, 90.00 degrees
Space group P4/mmm (No. 123)
Symmetry-distinct sites (fractional):
Ru: 0.0000 0.5000 0.0000
Pt: 0.0000 0.0000 0.5000
Se: 0.5000 0.5000 0.5000

Computed properties:
spin magnetization: 1.006 μB/f.u.
VASP energy: -6.695 eV/atom

=====

No. 7
Here is Ru2PtSe2 after structural relaxation from Alexandria. Energies are from GGA-PBE.

Cell lengths 4.0862, 4.0862, 10.6878 Å; angles 90.00, 90.00, 90.00 degrees
Space group I4/mmm (No. 139)
Symmetry-distinct sites (fractional):
Ru: 0.0000 0.5000 0.2500
Pt: 0.0000 0.0000 0.0000
Se: 0.0000 0.0000 0.3720

Computed properties:
spin magnetization: 0.000 μB/f.u.
VASP energy: -6.018 eV/atom

=====

No. 8
Here is RuPtSe after structural relaxation from Alexandria. Energies are from GGA-PBE.

Cell lengths 6.0211, 6.0211, 6.0211 Å; angles 90.00, 90.00, 90.00 degrees
Space group F-43m (No. 216)
Symmetry-distinct sites (fractional):
Ru: 0.0000 0.0000 0.0000
Pt: 0.2500 0.2500 0.7500
Se: 0.2500 0.2500 0.2500

Computed properties:
spin magnetization: 0.000 μB/f.u.
VASP energy: -6.023 eV/atom

=====

No. 9
Here is Ru2PtSe after structural relaxation from Alexandria. Energies are from GGA-PBE.

Cell lengths 2.8288, 2.8288, 7.7923 Å; angles 90.00, 90.00, 90.00 degrees
Space group P4mm (No. 99)
Symmetry-distinct sites (fractional):
Ru: 0.0000 0.0000 0.0000
Ru: 0.5000 0.5000 0.2274
Pt: 0.5000 0.5000 0.7575
Se: 0.0000 0.0000 0.4502

Computed properties:
spin magnetization: 0.000 μB/f.u.
VASP energy: -6.807 eV/atom

=====

No. 10
Here is Ru2PtSe after structural relaxation from Alexandria. Energies are from GGA-PBE.

Cell lengths 2.8120, 4.6609, 4.7059 Å; angles 90.00, 90.00, 90.00 degrees
Space group Pmmm (No. 47)
Symmetry-distinct sites (fractional):
Ru: 0.0000 0.0000 0.0000
Ru: 0.5000 0.0000 0.5000
Pt: 0.0000 0.5000 0.5000
Se: 0.5000 0.5000 0.0000

Computed properties:
spin magnetization: 0.001 μB/f.u.
VASP energy: -6.552 eV/atom

=====

No. 11
Here is Ru2PtSe after structural relaxation from Alexandria. Energies are from GGA-PBE.

Cell lengths 4.1554, 4.1554, 7.0002 Å; angles 90.00, 90.00, 90.00 degrees
Space group I4/mmm (No. 139)
Symmetry-distinct sites (fractional):
Ru: 0.0000 0.5000 0.2500
Pt: 0.0000 0.0000 0.0000
Se: 0.0000 0.0000 0.5000

Computed properties:
spin magnetization: 0.000 μB/f.u.
VASP energy: -6.663 eV/atom

=====

No. 12
Here is Ru2PtSe after structural relaxation from Alexandria. Energies are from GGA-PBE.

Cell lengths 2.8120, 4.8006, 9.1344 Å; angles 90.00, 90.00, 90.00 degrees
Space group Cmmm (No. 65)
Symmetry-distinct sites (fractional):
Ru: 0.0000 0.0000 0.2428
Pt: 0.0000 0.5000 0.5000
Se: 0.0000 0.5000 0.0000

Computed properties:
spin magnetization: 0.001 μB/f.u.
VASP energy: -6.475 eV/atom